First-principles (PBE) data for a relaxed Hf2ZrHgO crystal, as listed in the Alexandria database.

Lattice parameters (Å, degrees): 4.369 4.369 4.673 90.00 90.00 90.00
Space group P4/mmm (No. 123)
Asymmetric unit:
Hf 0.000 0.500 0.000 (multiplicity 2)
Zr 0.000 0.000 0.500 (multiplicity 1)
Hg 0.500 0.500 0.500 (multiplicity 1)
O 0.000 0.000 0.000 (multiplicity 1)

Summary:
Raw formation energy, eV per atom: -0.9934


First-principles (PBE) data for a relaxed HfHg3Os crystal, as listed in the Alexandria database.

Lattice parameters (Å, degrees): 5.116 5.116 5.116 90.00 90.00 90.00
Space group Pm-3m (No. 221)
Asymmetric unit:
Hf 0.000 0.000 0.000 (multiplicity 1)
Hg 0.000 0.500 0.500 (multiplicity 3)
Os 0.500 0.500 0.500 (multiplicity 1)

Summary:
Energy of formation, eV/atom: 1.30
ΔE to the lowest computed polymorph, eV/atom: 0.000